First-principles (GGA-PBE) data for a relaxed structure of Tl2Ag2Pd7, as listed in Alexandria.

Cell lengths 6.560, 5.119, 6.560 Å; angles 107.85, 87.72, 72.15 degrees
Element x y z (fractional)
Pd 0.744 0.542 0.256
Pd 0.416 0.825 0.073
Pd 0.000 0.000 0.000
Pd 0.073 0.175 0.416
Pd 0.927 0.825 0.584
Pd 0.584 0.175 0.927
Pd 0.256 0.458 0.744
Ag 0.391 0.847 0.609
Ag 0.609 0.153 0.391
Tl 0.191 0.500 0.191
Tl 0.809 0.500 0.809

Computed properties:
Space group ... No. 12
N(E_F) ... 6.3 states/eV/cell
Calculated total energy ... -4.308 eV per atom